Compound: AlCuNi
Source: Alexandria via LeMat-Bulk
Functional: PBE-GGA
Structure: relaxed

a b c (Å): 2.760 12.848 4.100
angles (deg): 90.00 90.00 90.00
Space group Cmcm (No. 63)
Unique sites:
Al 0.000 0.096 0.250
Cu 0.000 0.232 0.750
Ni 0.000 0.435 0.250

Summary:
D(E_F) in states/eV/f.u.: 0.971
Distance to the lowest polymorph of the same formula in meV per atom: 0
Formation energy from the elements in meV/atom: -403